1) This record from the Alexandria database describes a relaxed Li2SN crystal. The functional is PBE-GGA.

## Properties
Crystal system: cubic
Total magnetic moment in μB per atom: 0.00

Structure (CIF):
```
data_Li2SN
_chemical_formula_sum 'Li8 S4 N4'
_cell_length_a 5.6351
_cell_length_b 5.6351
_cell_length_c 5.6351
_cell_angle_alpha 90.00
_cell_angle_beta 90.00
_cell_angle_gamma 90.00
_space_group_name_H-M_alt 'P 1'
_space_group_IT_number 1
_space_group_name_Hall 'P 1'
loop_
_atom_site_label
_atom_site_type_symbol
_atom_site_fract_x
_atom_site_fract_y
_atom_site_fract_z
_atom_site_occupancy
Li1 Li 0.2500 0.2500 0.2500 1
Li2 Li 0.2500 0.2500 0.7500 1
Li3 Li 0.2500 0.7500 0.2500 1
Li4 Li 0.2500 0.7500 0.7500 1
Li5 Li 0.7500 0.2500 0.2500 1
Li6 Li 0.7500 0.2500 0.7500 1
Li7 Li 0.7500 0.7500 0.2500 1
Li8 Li 0.7500 0.7500 0.7500 1
S1 S 0.0000 0.0000 0.0000 1
S2 S 0.0000 0.5000 0.5000 1
S3 S 0.5000 0.0000 0.5000 1
S4 S 0.5000 0.5000 0.0000 1
N1 N 0.0000 0.0000 0.5000 1
N2 N 0.0000 0.5000 0.0000 1
N3 N 0.5000 0.0000 0.0000 1
N4 N 0.5000 0.5000 0.5000 1
```

---

2) This record from the Alexandria database describes a relaxed Li2SN crystal. The functional is PBE-GGA.

## Properties
Crystal system: tetragonal
Total magnetic moment in μB per atom: 0.00

Structure (CIF):
```
data_Li2SN
_chemical_formula_sum 'Li8 S4 N4'
_cell_length_a 3.6191
_cell_length_b 3.6191
_cell_length_c 14.1248
_cell_angle_alpha 90.00
_cell_angle_beta 90.00
_cell_angle_gamma 90.00
_space_group_name_H-M_alt 'P 1'
_space_group_IT_number 1
_space_group_name_Hall 'P 1'
loop_
_atom_site_label
_atom_site_type_symbol
_atom_site_fract_x
_atom_site_fract_y
_atom_site_fract_z
_atom_site_occupancy
Li1 Li 0.1922 0.2500 0.1250 1
Li2 Li 0.2500 0.6922 0.3750 1
Li3 Li 0.2500 0.8078 0.8750 1
Li4 Li 0.3078 0.2500 0.6250 1
Li5 Li 0.6922 0.7500 0.6250 1
Li6 Li 0.7500 0.1922 0.8750 1
Li7 Li 0.7500 0.3078 0.3750 1
Li8 Li 0.8078 0.7500 0.1250 1
S1 S 0.0000 0.0000 0.5000 1
S2 S 0.0000 0.5000 0.7500 1
S3 S 0.5000 0.0000 0.2500 1
S4 S 0.5000 0.5000 0.0000 1
N1 N 0.0000 0.0000 0.0000 1
N2 N 0.0000 0.5000 0.2500 1
N3 N 0.5000 0.0000 0.7500 1
N4 N 0.5000 0.5000 0.5000 1
```

---

Sorted by energy, starting with the most stable: 2), 1).